1.
Entry from the Open Quantum Materials Database: a relaxed UTc3C crystal (GGA-PBE).

Properties
space group	Pm-3m (221)

Unit cell a=4.173 b=4.173 c=4.173 alpha=90.00 beta=90.00 gamma=90.00
Fractional positions:
U 0.000 0.000 0.000
Tc 0.000 0.500 0.500
Tc 0.500 0.000 0.500
Tc 0.500 0.500 0.000
C 0.500 0.500 0.500

2.
Entry from the Open Quantum Materials Database: a relaxed K4AgP2Au crystal (GGA-PBE).

Properties
space group	C2/m (12)

Unit cell a=6.240 b=6.240 c=6.093 alpha=90.28 beta=90.28 gamma=104.88
Fractional positions:
K 0.027 0.683 0.753
K 0.317 0.973 0.247
K 0.683 0.027 0.753
K 0.973 0.317 0.247
Ag 0.500 0.500 0.500
P 0.248 0.248 0.752
P 0.752 0.752 0.248
Au 0.500 0.500 0.000

In order of appearance, electronic total energy = -10.50 -3.09 eV/atom.